*P*
! GGA-PBE FeRe2Tc, relaxed; values from VASP
! DOS(E_F) = 7.3 states/eV/cell
&SYSTEM
  ibrav = 0, nat = 8, ntyp = 3
/
ATOMIC_SPECIES
Fe 55.84 Fe.upf
Re 186.21 Re.upf
Tc 98.00 Tc.upf
CELL_PARAMETERS angstrom
3.0339 0.0000 0.0000
0.0000 4.2921 0.0000
0.0000 0.0000 8.7108
ATOMIC_POSITIONS crystal
Fe 0.0000 0.0000 0.0000
Fe 0.5000 0.5000 0.5000
Re 0.0000 0.0000 0.4962
Re 0.0000 0.5000 0.7358
Re 0.5000 0.0000 0.2358
Re 0.5000 0.5000 0.9962
Tc 0.0000 0.5000 0.2599
Tc 0.5000 0.0000 0.7599

=====

*Q*
! GGA-PBE FeRe2Tc, relaxed; values from VASP
! DOS(E_F) = 3.7 states/eV/cell
&SYSTEM
  ibrav = 0, nat = 4, ntyp = 3
/
ATOMIC_SPECIES
Fe 55.84 Fe.upf
Re 186.21 Re.upf
Tc 98.00 Tc.upf
CELL_PARAMETERS angstrom
2.6990 0.0000 0.0000
0.0000 2.6990 0.0000
0.0000 0.0000 7.5823
ATOMIC_POSITIONS crystal
Fe 0.0000 0.0000 0.0000
Re 0.5000 0.5000 0.2329
Re 0.5000 0.5000 0.7671
Tc 0.0000 0.0000 0.5000

=====

Name the most stable of them. *Q*.

=====

*P*
! GGA-PBE FeRe2Tc, relaxed; values from VASP
! DOS(E_F) = 9.2 states/eV/cell
&SYSTEM
  ibrav = 0, nat = 8, ntyp = 3
/
ATOMIC_SPECIES
Fe 55.84 Fe.upf
Re 186.21 Re.upf
Tc 98.00 Tc.upf
CELL_PARAMETERS angstrom
8.9115 0.0000 0.0000
0.0000 2.7356 0.0000
-0.8203 0.0000 4.6232
ATOMIC_POSITIONS crystal
Fe 0.0000 0.0000 0.0000
Fe 0.5000 0.5000 0.0000
Re 0.2472 0.5000 0.2433
Re 0.2528 0.0000 0.7567
Re 0.7472 0.0000 0.2433
Re 0.7528 0.5000 0.7567
Tc 0.0000 0.5000 0.5000
Tc 0.5000 0.0000 0.5000

=====

*Q*
! GGA-PBE FeRe2Tc, relaxed; values from VASP
! DOS(E_F) = 19.1 states/eV/cell
&SYSTEM
  ibrav = 0, nat = 16, ntyp = 3
/
ATOMIC_SPECIES
Fe 55.84 Fe.upf
Re 186.21 Re.upf
Tc 98.00 Tc.upf
CELL_PARAMETERS angstrom
3.7863 0.0000 0.0000
0.0000 3.7863 0.0000
0.0000 0.0000 17.4066
ATOMIC_POSITIONS crystal
Fe 0.0000 0.0000 0.0000
Fe 0.0000 0.5000 0.2500
Fe 0.5000 0.0000 0.7500
Fe 0.5000 0.5000 0.5000
Re 0.2146 0.2500 0.1250
Re 0.2500 0.7146 0.3750
Re 0.2500 0.7854 0.8750
Re 0.2854 0.2500 0.6250
Re 0.7146 0.7500 0.6250
Re 0.7500 0.2146 0.8750
Re 0.7500 0.2854 0.3750
Re 0.7854 0.7500 0.1250
Tc 0.0000 0.0000 0.5000
Tc 0.0000 0.5000 0.7500
Tc 0.5000 0.0000 0.2500
Tc 0.5000 0.5000 0.0000

=====

*R*
! GGA-PBE FeRe2Tc, relaxed; values from VASP
! DOS(E_F) = 4.2 states/eV/cell
&SYSTEM
  ibrav = 0, nat = 4, ntyp = 3
/
ATOMIC_SPECIES
Fe 55.84 Fe.upf
Re 186.21 Re.upf
Tc 98.00 Tc.upf
CELL_PARAMETERS angstrom
2.7153 0.0000 0.0000
0.0000 3.7444 0.0000
0.0000 0.0000 5.4610
ATOMIC_POSITIONS crystal
Fe 0.0000 0.0000 0.0000
Re 0.5000 0.5000 0.2342
Re 0.5000 0.5000 0.7658
Tc 0.0000 0.0000 0.5000

=====

*S*
! GGA-PBE FeRe2Tc, relaxed; values from VASP
! DOS(E_F) = 8.1 states/eV/cell
&SYSTEM
  ibrav = 0, nat = 8, ntyp = 3
/
ATOMIC_SPECIES
Fe 55.84 Fe.upf
Re 186.21 Re.upf
Tc 98.00 Tc.upf
CELL_PARAMETERS angstrom
4.7332 0.0000 0.0000
0.0000 2.7325 0.0000
-1.5822 0.0000 8.7071
ATOMIC_POSITIONS crystal
Fe 0.0000 0.0000 0.0000
Fe 0.5000 0.5000 0.0000
Re 0.0880 0.5000 0.7606
Re 0.4164 0.0000 0.2438
Re 0.5880 0.0000 0.7606
Re 0.9164 0.5000 0.2438
Tc 0.3350 0.5000 0.5036
Tc 0.8350 0.0000 0.5036

=====

Name the most stable of them. *S*.